# 1
# Er8Cd2In, optimized geometry, DFT PBE-GGA
data_Er8Cd2In
_chemical_formula_sum 'Er8 Cd2 In1'
_cell_length_a 5.414
_cell_length_b 8.521
_cell_length_c 8.521
_cell_angle_alpha 118.12
_cell_angle_beta 101.29
_cell_angle_gamma 101.29
_space_group_name_H-M_alt 'P 1'
_space_group_IT_number 1
_space_group_name_Hall 'P 1'
loop_
_atom_site_label
_atom_site_fract_x
_atom_site_fract_y
_atom_site_fract_z
_atom_site_occupancy
Er1 0.888 0.906 0.676 1
Er2 0.888 0.676 0.906 1
Er3 0.303 0.604 0.604 1
Er4 0.500 0.781 0.219 1
Er5 0.500 0.219 0.781 1
Er6 0.697 0.396 0.396 1
Er7 0.112 0.324 0.094 1
Er8 0.112 0.094 0.324 1
Cd1 0.000 0.306 0.694 1
Cd2 0.000 0.694 0.306 1
In1 0.500 0.000 0.000 1
# magnetic moment	0.01	μB per cell
# ΔH_f (0 K)	-53	meV/atom

# 2
# ErCdIn2, optimized geometry, DFT PBE-GGA
data_ErCdIn2
_chemical_formula_sum 'Er1 Cd1 In2'
_cell_length_a 4.788
_cell_length_b 4.788
_cell_length_c 5.837
_cell_angle_alpha 65.78
_cell_angle_beta 65.78
_cell_angle_gamma 60.00
_space_group_name_H-M_alt 'P 1'
_space_group_IT_number 1
_space_group_name_Hall 'P 1'
loop_
_atom_site_label
_atom_site_fract_x
_atom_site_fract_y
_atom_site_fract_z
_atom_site_occupancy
Cd1 0.500 0.500 0.500 1
In1 0.765 0.765 0.704 1
In2 0.235 0.235 0.296 1
Er1 0.000 0.000 0.000 1
# magnetic moment	0.00	μB per cell
# ΔH_f (0 K)	-174	meV/atom